DFT (PBE) results for crystalline TlAgF3 at its relaxed geometry.

Calculated values
- Space group: Cmmm

a b c (Å): 4.2668 4.2668 4.2645
angles (deg): 90.00 90.00 90.44
With the nearest neighbours (Å) after each atom.
Atoms (fractional coordinates):
Ag 0.5000 0.5000 0.0000  6 F 2.13
F 0.5000 0.0000 0.0000  2 Ag 2.13
F 0.0000 0.5000 0.0000  2 Ag 2.13
F 0.5000 0.5000 0.5000  2 Ag 2.13
Tl 0.0000 0.0000 0.5000  12 F 3.01-3.03

***

DFT (PBE) results for crystalline TlAg3F6 at its relaxed geometry.

Calculated values
- Space group: Fm-3m

a b c (Å): 6.1504 6.1504 6.1504
angles (deg): 60.00 60.00 60.00
With the nearest neighbours (Å) after each atom.
Atoms (fractional coordinates):
Ag 0.2500 0.2500 0.2500  12 F 3.08
Ag 0.5000 0.5000 0.5000  6 F 2.20
Ag 0.7500 0.7500 0.7500  12 F 3.08
F 0.7530 0.2470 0.2470  1 Tl 2.15, 1 Ag 2.20
F 0.2470 0.7530 0.2470  1 Tl 2.15, 1 Ag 2.20
F 0.7530 0.7530 0.2470  1 Tl 2.15, 1 Ag 2.20
F 0.2470 0.2470 0.7530  1 Tl 2.15, 1 Ag 2.20
F 0.7530 0.2470 0.7530  1 Tl 2.15, 1 Ag 2.20
F 0.2470 0.7530 0.7530  1 Tl 2.15, 1 Ag 2.20
Tl 0.0000 0.0000 0.0000  6 F 2.15

***

DFT (PBE) results for crystalline TlAgF4 at its relaxed geometry.

Calculated values
- Relative energy among the computed polymorphs: 0.0353 eV per atom
- Space group: P2_1/c

a b c (Å): 5.6654 5.3000 5.8473
angles (deg): 90.00 105.93 90.00
With the nearest neighbours (Å) after each atom.
Atoms (fractional coordinates):
Ag 0.0000 0.0000 0.0000  4 F 2.26-2.27
Ag 0.0000 0.5000 0.5000  4 F 2.26-2.27
F 0.7993 0.7303 0.1791  1 Tl 2.12, 2 Ag 2.26-2.27
F 0.6781 0.1966 0.2494  2 Tl 2.22-2.25
F 0.3219 0.6966 0.2505  2 Tl 2.22-2.25
F 0.2007 0.2303 0.3209  1 Tl 2.12, 2 Ag 2.26-2.27
F 0.7993 0.7697 0.6791  1 Tl 2.12, 2 Ag 2.26-2.27
F 0.6781 0.3034 0.7494  2 Tl 2.22-2.25
F 0.3219 0.8034 0.7505  2 Tl 2.22-2.25
F 0.2007 0.2697 0.8209  1 Tl 2.12, 2 Ag 2.26-2.27
Tl 0.5000 0.5000 0.0000  6 F 2.12-2.25
Tl 0.5000 0.0000 0.5000  6 F 2.12-2.25

***

DFT (PBE) results for crystalline TlAgF4 at its relaxed geometry.

Calculated values
- Relative energy among the computed polymorphs: 0.0000 eV per atom
- Space group: P2_1/c

a b c (Å): 5.7238 5.3520 5.3492
angles (deg): 90.00 90.30 90.00
With the nearest neighbours (Å) after each atom.
Atoms (fractional coordinates):
Ag 0.0000 0.5000 0.0000  8 F 2.39-2.53
Ag 0.0000 0.0000 0.5000  8 F 2.39-2.53
F 0.7243 0.7368 0.2377  2 Tl 2.29, 2 Ag 2.39-2.53
F 0.2745 0.7380 0.2425  2 Tl 2.27-2.31, 2 Ag 2.40-2.52
F 0.7255 0.2380 0.2575  2 Tl 2.27-2.31, 2 Ag 2.40-2.52
F 0.2757 0.2368 0.2623  2 Tl 2.29, 2 Ag 2.39-2.53
F 0.7243 0.7632 0.7377  2 Tl 2.29, 2 Ag 2.39-2.53
F 0.2745 0.7620 0.7425  2 Tl 2.27-2.31, 2 Ag 2.40-2.52
F 0.7255 0.2620 0.7575  2 Tl 2.27-2.31, 2 Ag 2.40-2.52
F 0.2757 0.2632 0.7623  2 Tl 2.29, 2 Ag 2.39-2.53
Tl 0.5000 0.0000 0.0000  8 F 2.27-2.31
Tl 0.5000 0.5000 0.5000  8 F 2.27-2.31

***

DFT (PBE) results for crystalline Tl2ZnAgF6 at its relaxed geometry.

Calculated values
- Space group: Fm-3m

a b c (Å): 5.8810 5.8810 5.8810
angles (deg): 60.00 60.00 60.00
With the nearest neighbours (Å) after each atom.
Atoms (fractional coordinates):
Ag 0.5000 0.5000 0.5000  6 F 2.18
F 0.7625 0.7625 0.2375  1 Zn 1.98, 1 Ag 2.18
F 0.7625 0.2375 0.2375  1 Zn 1.98, 1 Ag 2.18
F 0.2375 0.7625 0.2375  1 Zn 1.98, 1 Ag 2.18
F 0.7625 0.2375 0.7625  1 Zn 1.98, 1 Ag 2.18
F 0.2375 0.2375 0.7625  1 Zn 1.98, 1 Ag 2.18
F 0.2375 0.7625 0.7625  1 Zn 1.98, 1 Ag 2.18
Tl 0.2500 0.2500 0.2500  12 F 2.94
Tl 0.7500 0.7500 0.7500  12 F 2.94
Zn 0.0000 0.0000 0.0000  6 F 1.98

***

DFT (PBE) results for crystalline YAgF4 at its relaxed geometry.

Calculated values
- Space group: I4_1/a

a b c (Å): 6.6009 6.6009 6.6009
angles (deg): 131.38 131.38 71.21
With the nearest neighbours (Å) after each atom.
Atoms (fractional coordinates):
Ag 0.0000 0.0000 0.0000  8 F 2.41-2.45
Ag 0.7500 0.2500 0.5000  8 F 2.41-2.45
F 0.8732 0.4032 0.0227  2 Y 2.26, 2 Ag 2.41-2.45, 1 F 2.43
F 0.1532 0.6305 0.0300  2 Y 2.26, 2 Ag 2.41-2.45, 1 F 2.43
F 0.5968 0.6195 0.4700  2 Y 2.26, 2 Ag 2.41-2.45, 1 F 2.43
F 0.8768 0.8468 0.4773  2 Y 2.26, 2 Ag 2.41-2.45, 1 F 2.43
F 0.3695 0.3995 0.5227  2 Y 2.26, 2 Ag 2.41-2.45, 1 F 2.43
F 0.1495 0.1268 0.5300  2 Y 2.26, 2 Ag 2.41-2.45, 1 F 2.43
F 0.6005 0.1232 0.9700  2 Y 2.26, 2 Ag 2.41-2.45, 1 F 2.43
F 0.3805 0.8505 0.9773  2 Y 2.26, 2 Ag 2.41-2.45, 1 F 2.43
Y 0.5000 0.5000 0.0000  8 F 2.26
Y 0.2500 0.7500 0.5000  8 F 2.26

***

DFT (PBE) results for crystalline Fe2Ag at its relaxed geometry.

Calculated values
- Formation energy from the elements: 2.54 eV per atom
- Space group: Fd-3m

a b c (Å): 8.0410 8.0410 8.0410
angles (deg): 60.00 60.00 60.00
With the nearest neighbours (Å) after each atom.
Atoms (fractional coordinates):
Ag 0.2500 0.2500 0.2500  4 Fe 2.46
Ag 0.5000 0.5000 0.5000  4 Fe 2.46
Fe 0.8750 0.3750 0.3750  2 Ag 2.46
Fe 0.3750 0.8750 0.3750  2 Ag 2.46
Fe 0.3750 0.3750 0.3750  2 Ag 2.46
Fe 0.3750 0.3750 0.8750  2 Ag 2.46

***

DFT (PBE) results for crystalline FeAg at its relaxed geometry.

Calculated values
- Formation energy from the elements: 0.95 eV per atom
- Space group: P6_3/mmc

a b c (Å): 3.8358 3.8358 5.5829
angles (deg): 90.00 90.00 120.00
With the nearest neighbours (Å) after each atom.
Atoms (fractional coordinates):
Ag 0.0000 0.0000 0.0000  6 Fe 2.62, 2 Ag 2.79
Ag 0.0000 0.0000 0.5000  6 Fe 2.62, 2 Ag 2.79
Fe 0.3333 0.6667 0.2500  6 Ag 2.62
Fe 0.6667 0.3333 0.7500  6 Ag 2.62

***

Which E belongs to each record? In order, -3.57; -3.36; -3.59; -3.62; -3.72; -5.79; -3.94; -4.62 eV/atom.